[1]
Density functional theory data (GGA-PBE) for AcNi2Sn2 after structural relaxation.

Geometry as extended XYZ:
```
10
Lattice="2.986 -5.678 0.000 2.986 5.678 0.000 -2.955 0.000 6.597" Properties=species:S:1:pos:R:3 pbc="T T T"
Ac 0.770 4.263 4.948
Ac 2.248 -4.263 1.649
Ni 2.228 1.418 0.344
Ni 2.268 1.418 2.955
Ni 0.750 -1.418 3.642
Ni 0.790 -1.418 6.253
Sn 2.248 3.614 1.649
Sn 0.770 0.777 4.948
Sn 2.248 -0.777 1.649
Sn 0.770 -3.614 4.948
```

Properties
Total magnetization: 0.0 μB/f.u.
ΔE_f: -0.5029 eV/atom
E above lowest polymorph: 0.14 eV/f.u.
DFT total energy: -5.24 eV per atom

=====

[2]
Density functional theory data (GGA-PBE) for ErAl2Ni9 after structural relaxation.

Geometry as extended XYZ:
```
24
Lattice="8.038 0.000 0.000 0.000 8.038 0.000 0.000 0.000 4.701" Properties=species:S:1:pos:R:3 pbc="T T T"
Er 0.000 0.000 0.000
Er 4.019 4.019 0.000
Al 0.971 3.048 0.000
Al 3.048 7.067 0.000
Al 4.989 0.971 0.000
Al 7.067 4.989 0.000
Ni 0.000 4.019 2.351
Ni 0.518 1.680 2.351
Ni 1.427 5.446 1.128
Ni 1.427 5.446 3.573
Ni 1.680 7.519 2.351
Ni 2.339 3.500 2.351
Ni 2.592 1.427 1.128
Ni 2.592 1.427 3.573
Ni 3.500 5.698 2.351
Ni 4.019 0.000 2.351
Ni 4.537 2.339 2.351
Ni 5.446 6.611 1.128
Ni 5.446 6.611 3.573
Ni 5.698 4.537 2.351
Ni 6.358 0.518 2.351
Ni 6.611 2.592 1.128
Ni 6.611 2.592 3.573
Ni 7.519 6.358 2.351
```

Properties
Total magnetization: 0.5 μB/f.u.
ΔE_f: -0.3724 eV/atom
E above lowest polymorph: 0.00 eV/f.u.
DFT total energy: -5.71 eV per atom